This record from Alexandria describes K2TcRu after structural relaxation. The functional is GGA-PBE.

abc: 4.913 4.913 4.913
angles: 120.04 120.04 89.94
Fractional coordinates of all 4 atoms:
K: 0.000 0.000 0.000
K: 0.250 0.750 0.500
Ru: 0.500 0.500 0.000
Tc: 0.750 0.250 0.500

Crystal system = cubic
Electronic total energy = -3.86 eV/atom
M_tot = 0.00 μB per formula unit